1.
A plane-wave DFT calculation with PBE was carried out for La2Pm3YEr6 after structural relaxation.

Results
- formation energy (eV per atom) = 0.018

a b c (Å): 6.228 6.228 11.802
angles (deg): 95.03 95.03 119.98
Positions (direct):
La 0.166 0.834 0.000
La 0.834 0.166 0.000
Pm 0.000 0.000 0.500
Pm 0.333 0.667 0.500
Pm 0.667 0.333 0.500
Y 0.500 0.500 0.000
Er 0.083 0.416 0.748
Er 0.252 0.252 0.252
Er 0.416 0.083 0.748
Er 0.584 0.917 0.252
Er 0.748 0.748 0.748
Er 0.917 0.584 0.252

2.
A plane-wave DFT calculation with PBE was carried out for ScReB3 after structural relaxation.

Results
- energy relative to the lowest polymorph listed for this composition (meV/atom) = 0.0
- formation energy (eV per atom) = -0.598

a b c (Å): 9.540 9.540 3.034
angles (deg): 90.00 90.00 158.93
Positions (direct):
Sc 0.073 0.927 0.750
Sc 0.927 0.073 0.250
Re 0.206 0.794 0.250
Re 0.794 0.206 0.750
B 0.327 0.673 0.250
B 0.379 0.621 0.750
B 0.476 0.524 0.750
B 0.524 0.476 0.250
B 0.621 0.379 0.250
B 0.673 0.327 0.750

3.
A plane-wave DFT calculation with PBE was carried out for RbHgPPd2 after structural relaxation.

Results
- formation energy (eV per atom) = -0.133

a b c (Å): 4.758 4.758 5.253
angles (deg): 90.00 90.00 90.00
Positions (direct):
Rb 0.000 0.000 0.000
Hg 0.500 0.500 0.000
P 0.500 0.500 0.500
Pd 0.000 0.500 0.500
Pd 0.500 0.000 0.500

4.
A plane-wave DFT calculation with PBE was carried out for AlW2Cl2 after structural relaxation.

Results
- energy relative to the lowest polymorph listed for this composition (meV/atom) = 366.2
- formation energy without anion corrections (eV/atom) = 1.09

a b c (Å): 8.805 8.805 2.831
angles (deg): 90.00 90.00 90.00
Positions (direct):
Al 0.000 0.000 0.000
Al 0.500 0.500 0.000
W 0.098 0.402 0.000
W 0.402 0.902 0.000
W 0.598 0.098 0.000
W 0.902 0.598 0.000
Cl 0.242 0.742 0.500
Cl 0.258 0.242 0.500
Cl 0.742 0.758 0.500
Cl 0.758 0.258 0.500

5.
A plane-wave DFT calculation with PBE was carried out for SiAsPbBr2 after structural relaxation.

Results
- energy relative to the lowest polymorph listed for this composition (meV/atom) = 0.0
- formation energy without anion corrections (eV/atom) = 0.07

a b c (Å): 5.084 5.084 5.197
angles (deg): 90.00 90.00 90.00
Positions (direct):
Si 0.000 0.000 0.000
As 0.000 0.000 0.500
Pb 0.500 0.500 0.500
Br 0.000 0.500 0.000
Br 0.500 0.000 0.000

6.
A plane-wave DFT calculation with PBE was carried out for HfGe4Mo after structural relaxation.

Results
- formation energy (eV per atom) = -0.200

a b c (Å): 4.928 4.928 4.803
angles (deg): 90.00 90.00 120.99
Positions (direct):
Hf 0.000 0.000 0.000
Ge 0.164 0.836 0.500
Ge 0.336 0.664 0.000
Ge 0.664 0.336 0.000
Ge 0.836 0.164 0.500
Mo 0.500 0.500 0.500

7.
A plane-wave DFT calculation with PBE was carried out for BBrO2 after structural relaxation.

Results
- energy relative to the lowest polymorph listed for this composition (meV/atom) = 0.0
- formation energy without anion corrections (eV/atom) = -0.75

a b c (Å): 4.875 4.875 4.875
angles (deg): 119.93 119.93 90.13
Positions (direct):
B 0.375 0.625 0.750
B 0.625 0.375 0.250
Br 0.125 0.875 0.250
Br 0.875 0.125 0.750
O 0.000 0.500 0.500
O 0.500 0.000 0.000
O 0.500 0.500 0.000
O 0.500 0.500 0.500

8.
A plane-wave DFT calculation with PBE was carried out for NaY2TaF after structural relaxation.

Results
- formation energy without anion corrections (eV/atom) = 0.65

a b c (Å): 5.446 5.446 5.670
angles (deg): 90.00 90.00 90.00
Positions (direct):
Na 0.000 0.000 0.000
Y 0.000 0.500 0.500
Y 0.500 0.000 0.500
Ta 0.000 0.000 0.500
F 0.500 0.500 0.000

9.
A plane-wave DFT calculation with PBE was carried out for YIr2Rh after structural relaxation.

Results
- energy relative to the lowest polymorph listed for this composition (meV/atom) = 155.5
- formation energy (eV per atom) = -0.257

a b c (Å): 4.858 4.858 2.976
angles (deg): 90.00 90.00 107.62
Positions (direct):
Y 0.000 0.000 0.000
Ir 0.000 0.500 0.500
Ir 0.500 0.000 0.500
Rh 0.500 0.500 0.000

10.
A plane-wave DFT calculation with PBE was carried out for Mg2Al3Ag after structural relaxation.

Results
- formation energy (eV per atom) = -0.060

a b c (Å): 5.388 5.388 5.354
angles (deg): 118.98 118.98 61.20
Positions (direct):
Mg 0.124 0.124 0.375
Mg 0.876 0.876 0.625
Al 0.000 0.500 0.000
Al 0.500 0.000 0.000
Al 0.500 0.500 0.500
Ag 0.500 0.500 0.000

11.
A plane-wave DFT calculation with PBE was carried out for LaSmDyCu after structural relaxation.

Results
- formation energy (eV per atom) = -0.081

a b c (Å): 3.575 3.575 8.826
angles (deg): 90.00 90.00 90.00
Positions (direct):
La 0.000 0.000 0.000
Sm 0.500 0.500 0.688
Dy 0.500 0.500 0.307
Cu 0.000 0.000 0.487

12.
A plane-wave DFT calculation with PBE was carried out for Nb5AlS after structural relaxation.

Results
- formation energy without anion corrections (eV/atom) = -0.19

a b c (Å): 5.561 5.561 8.293
angles (deg): 97.59 97.59 94.16
Positions (direct):
Nb 0.111 0.618 0.356
Nb 0.137 0.863 0.750
Nb 0.194 0.380 0.969
Nb 0.380 0.194 0.469
Nb 0.382 0.889 0.144
Nb 0.618 0.111 0.856
Nb 0.620 0.806 0.531
Nb 0.806 0.620 0.031
Nb 0.863 0.137 0.250
Nb 0.889 0.382 0.644
Al 0.464 0.536 0.750
Al 0.536 0.464 0.250
S 0.000 0.000 0.000
S 0.000 0.000 0.500

13.
A plane-wave DFT calculation with PBE was carried out for Hf2PbCl after structural relaxation.

Results
- energy relative to the lowest polymorph listed for this composition (meV/atom) = 0.0
- formation energy without anion corrections (eV/atom) = -0.05

a b c (Å): 4.934 4.934 4.934
angles (deg): 60.00 60.00 60.00
Positions (direct):
Hf 0.250 0.250 0.250
Hf 0.750 0.750 0.750
Pb 0.000 0.000 0.000
Cl 0.500 0.500 0.500

Number 1: DOS(E_F) 13.777 states/eV/f.u., VASP energy -4.81 eV/atom. Number 2: DOS(E_F) 2.685 states/eV/f.u., VASP energy -8.36 eV/atom. Number 3: DOS(E_F) 4.338 states/eV/f.u., VASP energy -3.55 eV/atom. Number 4: DOS(E_F) 4.694 states/eV/f.u., VASP energy -5.58 eV/atom. Number 5: DOS(E_F) 3.740 states/eV/f.u., VASP energy -3.35 eV/atom. Number 6: DOS(E_F) 2.153 states/eV/f.u., VASP energy -6.74 eV/atom. Number 7: DOS(E_F) 2.023 states/eV/f.u., VASP energy -5.31 eV/atom. Number 8: DOS(E_F) 5.237 states/eV/f.u., VASP energy -4.94 eV/atom. Number 9: DOS(E_F) 3.994 states/eV/f.u., VASP energy -8.14 eV/atom. Number 10: DOS(E_F) 1.828 states/eV/f.u., VASP energy -2.94 eV/atom. Number 11: DOS(E_F) 4.139 states/eV/f.u., VASP energy -4.67 eV/atom. Number 12: DOS(E_F) 4.447 states/eV/f.u., VASP energy -8.51 eV/atom. Number 13: DOS(E_F) 3.045 states/eV/f.u., VASP energy -6.42 eV/atom.